(1)
The following is a PBE calculation of an optimized crystal structure of Nd4HoTl4, from Alexandria.

The structure in extended XYZ format:
```
18
Lattice="6.274 0.000 0.000 0.000 9.367 0.000 0.000 0.000 9.367" Properties=species:S:1:pos:R:3 pbc="T T T"
Tl 0.768 2.778 3.753
Nd 3.963 1.589 3.985
Nd 2.311 5.382 1.589
Nd 5.449 6.272 8.668
Nd 3.963 7.778 5.382
Ho 3.137 4.683 4.683
Nd 0.826 8.668 3.095
Nd 0.826 0.698 6.272
Nd 2.311 3.985 7.778
Tl 5.506 3.753 6.589
Ho 0.000 0.000 0.000
Tl 5.506 5.613 2.778
Tl 2.369 7.461 8.437
Tl 3.905 0.930 7.461
Nd 5.449 3.095 0.698
Tl 3.905 8.437 1.905
Tl 0.768 6.589 5.613
Tl 2.369 1.905 0.930
```

Summary:
* energy of formation: -0.1978 eV/atom


(2)
The following is a PBE calculation of an optimized crystal structure of Tb2Dy3Th2, from Alexandria.

The structure in extended XYZ format:
```
7
Lattice="-2.199 -0.654 -2.742 0.373 -9.431 -0.377 -3.517 -3.742 6.040" Properties=species:S:1:pos:R:3 pbc="T T T"
Dy -4.355 -7.704 2.996
Dy 0.000 0.000 0.000
Th -2.218 -4.941 2.958
Dy -0.989 -6.123 -0.075
Th -3.126 -8.886 -0.037
Tb -3.101 -11.033 2.789
Tb -2.242 -2.794 0.132
```

Summary:
* energy of formation: 0.0266 eV/atom
* energy relative to the lowest polymorph listed for this composition: 0.0 meV/atom


(3)
The following is a PBE calculation of an optimized crystal structure of CaPm2Cd2Sn2, from Alexandria.

The structure in extended XYZ format:
```
7
Lattice="5.016 0.000 0.000 2.508 4.344 0.000 2.508 1.448 9.249" Properties=species:S:1:pos:R:3 pbc="T T T"
Cd 5.016 2.896 6.985
Sn 7.524 4.344 7.291
Pm 7.524 4.344 3.635
Sn 2.508 1.448 1.959
Cd 5.016 2.896 2.265
Ca 0.000 0.000 0.000
Pm 2.508 1.448 5.614
```

Summary:
* energy of formation: -0.3231 eV/atom


(4)
The following is a PBE calculation of an optimized crystal structure of YBi3O, from Alexandria.

The structure in extended XYZ format:
```
5
Lattice="-0.016 -5.133 2.780 3.831 -2.106 -3.868 4.405 1.814 3.374" Properties=species:S:1:pos:R:3 pbc="T T T"
Bi 1.915 -1.053 -1.934
O 4.110 -2.713 1.143
Y 0.000 0.000 0.000
Bi 2.202 0.907 1.687
Bi -0.008 -2.567 1.390
```

Summary:
* E_form (uncorrected): 0.84 eV/atom
* energy relative to the lowest polymorph listed for this composition: 1394.5 meV/atom


Results for DOS(E_F): 7.01, 9.17, 6.33, 10.10 (in states/eV/f.u., following the order of the records).
Results for spin magnetization: 0.0, 0.0, 0.0, 0.0 (in μB per cell, following the order of the records).